{
  "formula": "Ag3Os5",
  "functional": "PBE",
  "state": "relaxed",
  "crystal_system": "hexagonal",
  "final_energy_ev_per_atom": -6.88,
  "delta_e_f_mev_per_atom": 1206,
  "dos_ef_per_ev_atom": 1.1869,
  "lattice_angstrom": [[8.079, 0.000, 0.000], [-4.040, 6.997, 0.000], [0.000, 0.000, 4.765]],
  "species": ["Ag", "Ag", "Ag", "Ag", "Ag", "Ag", "Os", "Os", "Os", "Os", "Os", "Os", "Os", "Os", "Os", "Os"],
  "fractional_positions": [[0.000, 0.394, 0.250], [0.000, 0.606, 0.750], [0.394, 0.000, 0.250], [0.394, 0.394, 0.750], [0.606, 0.000, 0.750], [0.606, 0.606, 0.250], [0.000, 0.181, 0.750], [0.000, 0.819, 0.250], [0.181, 0.000, 0.750], [0.181, 0.181, 0.250], [0.333, 0.667, 0.000], [0.333, 0.667, 0.500], [0.667, 0.333, 0.000], [0.667, 0.333, 0.500], [0.819, 0.000, 0.250], [0.819, 0.819, 0.750]]
}